{
  "formula": "NaSrMoF6",
  "functional": "PBE with a Hubbard U",
  "state": "optimized geometry",
  "dos_at_fermi_per_ev_cell": 0.00,
  "space_group": "P-31c (163)",
  "e_tot_ev_per_atom": -5.420,
  "lattice_angstrom": [[6.1079, 0.0000, 0.0000], [-3.0539, 5.2896, 0.0000], [0.0000, 0.0000, 9.0490]],
  "species": ["Na", "Na", "Sr", "Sr", "Mo", "Mo", "F", "F", "F", "F", "F", "F", "F", "F", "F", "F", "F", "F"],
  "frac_coords": [[0.0000, 0.0000, 0.0000], [0.0000, 0.0000, 0.5000], [0.3333, 0.6667, 0.2500], [0.6667, 0.3333, 0.7500], [0.3333, 0.6667, 0.7500], [0.6667, 0.3333, 0.2500], [0.0414, 0.3688, 0.6287], [0.0414, 0.6725, 0.8713], [0.3275, 0.3688, 0.8713], [0.3275, 0.9586, 0.6287], [0.3688, 0.0414, 0.1287], [0.3688, 0.3275, 0.3713], [0.6312, 0.6725, 0.6287], [0.6312, 0.9586, 0.8713], [0.6725, 0.0414, 0.3713], [0.6725, 0.6312, 0.1287], [0.9586, 0.3275, 0.1287], [0.9586, 0.6312, 0.3713]]
}